# 1
VASP calculation (SCAN) on MnCrSi2 at its PBEsol-relaxed geometry.

The space-group type is P2_1, No. 4. Its formation energy (no corrections) is -393 meV/atom.

Lattice parameters (Å, degrees): 4.516 4.498 4.521 90.00 90.56 90.00
Fractional coordinates of all 8 atoms:
Mn  0.114  0.000  0.360
Mn  0.886  0.500  0.640
Cr  0.392  0.224  0.866
Cr  0.608  0.724  0.134
Si  0.092  0.515  0.157
Si  0.401  0.708  0.648
Si  0.599  0.208  0.352
Si  0.908  0.015  0.843



# 2
VASP calculation (SCAN) on MnCr2Si at its PBEsol-relaxed geometry.

The space-group type is Cm, No. 8. Its formation energy (no corrections) is -5 meV/atom.

Lattice parameters (Å, degrees): 2.488 2.488 7.979 98.73 98.73 68.10
Fractional coordinates of all 4 atoms:
Mn  0.000  0.000  0.000
Cr  0.408  0.408  0.756
Cr  0.817  0.817  0.508
Si  0.407  0.407  0.249



# 3
VASP calculation (SCAN) on TaMnCr2 at its PBEsol-relaxed geometry.

The calculation puts the energy above the lowest structure with this stoichiometry at 0.0000 eV/atom. The space-group type is Immm, No. 71.

Lattice parameters (Å, degrees): 4.874 4.874 4.874 144.89 130.05 62.52
Fractional coordinates of all 4 atoms:
Ta  0.000  0.000  0.000
Mn  0.500  0.500  0.000
Cr  0.255  0.755  0.500
Cr  0.745  0.245  0.500



no.,VASP energy (eV/cell)
1,-116.5
2,-65.1
3,-121.5